[1]
Compound: YFePb4
Source: Alexandria
Functional: GGA-PBE
Structure: relaxed

Spin magnetization: 3.0 μB/f.u.
Calculated formation energy: 0.4829 eV per atom
Uncorrected energy: -26.9 eV for the cell shown
Crystal system: cubic

Unit cell a=6.3414 b=6.3414 c=6.3414 alpha=60.00 beta=60.00 gamma=60.00
Last column: nearest neighbours and their distance in Å.
Positions (direct):
Y1 0.7500 0.7500 0.7500  12 Pb 3.72, 4 Fe 3.88
Fe1 0.0000 0.0000 0.0000  12 Pb 3.72, 4 Y 3.88
Pb1 0.3752 0.8743 0.3752  6 Pb 3.16-3.18
Pb2 0.8743 0.3752 0.3752  6 Pb 3.16-3.18
Pb3 0.3752 0.3752 0.8743  6 Pb 3.16-3.18
Pb4 0.3752 0.3752 0.3752  6 Pb 3.16-3.18

***

[2]
Compound: CdGe2BO6
Source: Alexandria
Functional: GGA-PBE
Structure: relaxed

Spin magnetization: 0.0 μB/f.u.
Uncorrected energy: -124.8 eV for the cell shown
Crystal system: monoclinic
Formation energy without anion corrections: -1.583 eV/atom

Unit cell a=5.5913 b=7.7880 c=7.7880 alpha=87.38 beta=63.10 gamma=63.10
Last column: nearest neighbours and their distance in Å.
Positions (direct):
Cd1 0.2500 0.7008 0.2992  6 O 2.28-2.52
Cd2 0.7500 0.2992 0.7008  6 O 2.28-2.52
Ge1 0.4484 0.8217 0.6565  4 O 1.82-1.87
Ge2 0.0516 0.3435 0.1783  4 O 1.82-1.87
Ge3 0.5516 0.1783 0.3435  4 O 1.82-1.87
Ge4 0.9484 0.6565 0.8217  4 O 1.82-1.87
B1 0.2500 0.2225 0.7775  4 O 1.49-1.50
B2 0.7500 0.7775 0.2225  4 O 1.49-1.50
O1 0.1525 0.0739 0.7776  1 B 1.49
O2 0.3475 0.2224 0.9261  1 B 1.49
O3 0.8475 0.9261 0.2224  1 B 1.49
O4 0.6525 0.7776 0.0739  1 B 1.49
O5 0.4761 0.8113 0.4137  1 B 1.50
O6 0.0239 0.5863 0.1887  1 B 1.50
O7 0.5239 0.1887 0.5863  1 B 1.50
O8 0.9761 0.4137 0.8113  1 B 1.50
O9 0.3258 0.6401 0.7555  2 Ge 1.83-1.87
O10 0.1742 0.2445 0.3599  2 Ge 1.83-1.87
O11 0.6742 0.3599 0.2445  2 Ge 1.83-1.87
O12 0.8258 0.7555 0.6401  2 Ge 1.83-1.87